A relaxed AcYAu2 crystal. Source: the Alexandria database, functional PBE-GGA.

The structure in POSCAR format:
```
AcYAu2
1.0
3.7207 0.0000 0.0000
0.0000 3.7207 0.0000
0.0000 0.0000 7.6269
Y Ac Au
1 1 2
direct
0.5000 0.5000 0.0000
0.5000 0.5000 0.5000
0.0000 0.0000 0.7855
0.0000 0.0000 0.2145
```

* offset from the most stable computed form: 0.028 eV/atom
* space-group type: P4/mmm
* formation energy: -3.20 eV/f.u.
* crystal system: tetragonal

A relaxed VSiHSe2 crystal. Source: the Alexandria database, functional PBE-GGA.

The structure in POSCAR format:
```
VSiHSe2
1.0
-2.3150 4.2323 0.2880
-0.4700 -0.4729 3.1718
4.1838 2.2237 0.9514
H Si Se V
1 1 2 1
direct
0.0000 0.0000 0.0000
0.0000 0.5000 0.0000
0.0000 0.0000 0.5000
0.5000 0.0000 0.0000
0.5000 0.5000 0.5000
```

* total energy: -4.59 eV per atom
* space-group type: P4/mmm
* crystal system: tetragonal

A relaxed ZnBi2H crystal. Source: the Alexandria database, functional PBE-GGA.

The structure in POSCAR format:
```
ZnBi2H
1.0
0.0000 3.4781 3.4781
3.4781 0.0000 3.4781
3.4781 3.4781 0.0000
H Zn Bi
1 1 2
direct
0.0000 0.0000 0.0000
0.5000 0.5000 0.5000
0.2500 0.2500 0.2500
0.7500 0.7500 0.7500
```

* offset from the most stable computed form: 0.015 eV/atom
* space-group type: Fm-3m
* crystal system: cubic

A relaxed Ac2AlGa10 crystal. Source: the Alexandria database, functional PBE-GGA.

The structure in POSCAR format:
```
Ac2AlGa10
1.0
5.7514 0.0000 0.0000
0.0000 6.4130 0.0000
0.0000 0.0000 17.3261
Ac Al Ga
4 2 20
direct
0.5000 0.2978 0.9142
0.5000 0.7022 0.0858
0.5000 0.7978 0.5858
0.5000 0.2022 0.4142
0.0000 0.5000 0.5000
0.0000 0.0000 0.0000
0.0000 0.1350 0.5436
0.0000 0.8650 0.4564
0.0000 0.6350 0.9564
0.0000 0.3650 0.0436
0.0000 0.0299 0.6927
0.0000 0.9701 0.3073
0.2879 0.1755 0.1303
0.2879 0.8245 0.8697
0.7121 0.6755 0.3697
0.7121 0.3245 0.6303
0.7121 0.8245 0.8697
0.7121 0.1755 0.1303
0.2879 0.3245 0.6303
0.2879 0.6755 0.3697
0.0000 0.8739 0.1637
0.0000 0.1261 0.8363
0.0000 0.3739 0.3363
0.0000 0.6261 0.6637
0.0000 0.4701 0.1927
0.0000 0.5299 0.8073
```

* space-group type: Pbam
* formation energy: -2.11 eV/f.u.
* crystal system: orthorhombic

A relaxed BaTeIr2 crystal. Source: the Alexandria database, functional PBE-GGA.

The structure in POSCAR format:
```
BaTeIr2
1.0
-6.7320 3.3906 -2.1284
-3.6687 -6.8918 0.6250
-5.9226 -1.0590 2.6344
Ir Te Ba
4 2 2
direct
0.5404 0.1250 0.2500
0.2096 0.6250 0.2500
0.3750 0.4596 0.7500
0.8750 0.7904 0.7500
0.5000 0.5000 0.0000
0.2500 0.7500 0.5000
0.0000 0.0000 0.0000
0.7500 0.2500 0.5000
```

* space-group type: I-42d
* raw formation energy: 0.352 eV per atom
* crystal system: tetragonal

A relaxed NaTb2PmSe4 crystal. Source: the Alexandria database, functional PBE-GGA.

The structure in POSCAR format:
```
NaTb2PmSe4
1.0
4.1163 0.0000 0.0000
0.0000 7.1968 0.1513
0.0000 -2.4905 6.7730
Na Tb Pm Se
1 2 1 4
direct
0.5000 0.5000 0.0000
0.5000 0.0000 0.5000
0.0000 0.5000 0.5000
0.0000 0.0000 0.0000
0.5000 0.2552 0.2563
0.5000 0.7448 0.7437
0.0000 0.2477 0.7420
0.0000 0.7523 0.2580
```

* space-group type: P2/m
* raw formation energy: -1.757 eV per atom
* crystal system: monoclinic

A relaxed GaPd2O crystal. Source: the Alexandria database, functional PBE-GGA.

The structure in POSCAR format:
```
GaPd2O
1.0
-1.4109 0.6770 3.9240
-4.1416 0.4362 0.7097
-2.1256 -3.0324 2.0330
O Ga Pd
1 1 2
direct
0.0000 0.0000 0.0000
0.5000 0.5000 0.5000
0.2500 0.2500 0.2500
0.7500 0.7500 0.7500
```

* offset from the most stable computed form: 0.017 eV/atom
* space-group type: Fm-3m
* raw formation energy: -0.136 eV per atom
* crystal system: cubic

A relaxed Sm5Ho3H12 crystal. Source: the Alexandria database, functional PBE-GGA.

The structure in POSCAR format:
```
Sm5Ho3H12
1.0
-5.1520 4.7597 -9.0876
-7.9545 -3.8674 7.3179
6.5295 7.8515 5.2442
Ho Sm H
12 20 48
direct
0.7500 0.3750 0.1250
0.8750 0.7500 0.1250
0.3750 0.7500 0.6250
0.2500 0.1250 0.3750
0.8750 0.1250 0.2500
0.3750 0.6250 0.2500
0.6250 0.3750 0.7500
0.1250 0.8750 0.7500
0.7500 0.8750 0.6250
0.6250 0.2500 0.3750
0.1250 0.2500 0.8750
0.2500 0.6250 0.8750
0.1250 0.3750 0.2500
0.0000 0.5000 0.0000
0.0000 0.0000 0.0000
0.3750 0.2500 0.1250
0.5000 0.0000 0.5000
0.5000 0.5000 0.0000
0.1250 0.7500 0.3750
0.7500 0.1250 0.8750
0.7500 0.6250 0.3750
0.3750 0.1250 0.7500
0.6250 0.8750 0.2500
0.5000 0.5000 0.5000
0.5000 0.0000 0.0000
0.0000 0.0000 0.5000
0.2500 0.3750 0.6250
0.2500 0.8750 0.1250
0.0000 0.5000 0.5000
0.8750 0.2500 0.6250
0.6250 0.7500 0.8750
0.8750 0.6250 0.7500
0.7274 0.1586 0.0707
0.3433 0.5707 0.4120
0.9293 0.3414 0.2726
0.5707 0.2274 0.1586
0.5688 0.7274 0.6567
0.9293 0.5880 0.1567
0.3433 0.7726 0.4312
0.0880 0.9312 0.1586
0.5880 0.9293 0.6567
0.7274 0.5688 0.1567
0.7726 0.4293 0.3414
0.8433 0.9120 0.0707
0.1586 0.7274 0.5707
0.3414 0.4120 0.0688
0.0688 0.9120 0.3414
0.4312 0.1586 0.5880
0.0688 0.1567 0.2274
0.4293 0.6567 0.0880
0.8433 0.9312 0.2726
0.1586 0.4312 0.0880
0.3414 0.9293 0.7726
0.5880 0.6586 0.4312
0.9120 0.8433 0.5707
0.7726 0.3433 0.9312
0.4120 0.3414 0.5688
0.0880 0.1567 0.4293
0.2274 0.6567 0.0688
0.1567 0.0688 0.7274
0.6586 0.0707 0.2274
0.8414 0.5688 0.9120
0.5707 0.3433 0.9120
0.5688 0.8414 0.4120
0.9312 0.8433 0.7726
0.9312 0.0880 0.6586
0.8414 0.2726 0.4293
0.1567 0.0880 0.9293
0.6586 0.5880 0.9312
0.4120 0.0707 0.3433
0.2726 0.4312 0.8433
0.2274 0.5707 0.6586
0.9120 0.0688 0.8414
0.6567 0.2274 0.5688
0.4293 0.7726 0.8414
0.0707 0.4120 0.8433
0.4312 0.2726 0.3433
0.0707 0.6586 0.7274
0.6567 0.4293 0.5880
0.2726 0.8414 0.9293
```

* total energy: -4.32 eV per atom
* space-group type: Ia-3d
* crystal system: cubic

A relaxed TiMn2Al2 crystal. Source: the Alexandria database, functional PBE-GGA.

The structure in POSCAR format:
```
TiMn2Al2
1.0
-2.3159 6.2800 -2.3952
-6.4560 -2.7831 -1.0548
-0.7420 0.7269 2.6233
Mn Al Ti
4 4 2
direct
0.1700 0.6700 0.5000
0.6700 0.8300 0.5000
0.8300 0.3300 0.5000
0.3300 0.1700 0.5000
0.3720 0.8720 0.0000
0.8720 0.6280 0.0000
0.6280 0.1280 0.0000
0.1280 0.3720 0.0000
0.0000 0.0000 0.0000
0.5000 0.5000 0.0000
```

* offset from the most stable computed form: 0.000 eV/atom
* space-group type: P4/mbm
* formation energy: -0.91 eV/f.u.
* crystal system: tetragonal

A relaxed Er3PuHg6 crystal. Source: the Alexandria database, functional PBE-GGA.

The structure in POSCAR format:
```
Er3PuHg6
1.0
-4.7963 -1.3858 -1.2896
1.5046 -8.3384 3.3642
-4.0296 6.2467 8.2744
Er Pu Hg
6 2 12
direct
0.2500 0.5264 0.3838
0.7500 0.4736 0.6162
0.2500 0.3542 0.7983
0.7500 0.6458 0.2017
0.2500 0.7710 0.9861
0.7500 0.2290 0.0139
0.2500 0.9458 0.5947
0.7500 0.0542 0.4053
0.2500 0.4668 0.0874
0.7500 0.5332 0.9126
0.2500 0.1473 0.1963
0.7500 0.8527 0.8037
0.2500 0.6501 0.6943
0.7500 0.3499 0.3057
0.2500 0.2641 0.5075
0.7500 0.7359 0.4925
0.2500 0.8334 0.2894
0.7500 0.1666 0.7106
0.2500 0.0652 0.8949
0.7500 0.9348 0.1051
```

* space-group type: P2_1/m
* formation energy: -3.30 eV/f.u.
* crystal system: monoclinic

> Number 9 is which compound?

TiMn2Al2

> Number 9 is which compound?

TiMn2Al2